Density functional theory data (PBE) for a geometry-optimized ZnIrCl structure.

Output
Excess energy over the best structure of this formula in the dataset, eV per atom: 0.077
Space group: Fmm2
ΔE_f (raw), eV per atom: 0.275

Unit cell a=6.7534 b=6.4063 c=3.0107 alpha=83.30 beta=70.41 gamma=26.28
With the nearest neighbours (Å) after each atom.
Atoms (fractional coordinates):
Zn1 0.6650 0.6650 0.3350  2 Cl 2.44, 2 Ir 2.49
Ir1 0.3250 0.3250 0.6750  2 Zn 2.49, 2 Cl 2.75
Cl1 0.0100 0.0100 0.9900  2 Zn 2.44